# 1
Computed, not measured: an optimized crystal structure of Sm16Ho7Er6 at the PBE level of DFT.

As for the crystal system: cubic. For the formation energy, the calculation gives 0.219 eV/atom. Its calculated volume is 992.27 Å³/cell.

Cell lengths 11.196, 11.196, 11.196 Å; angles 60.00, 60.00, 60.00 degrees
Positions (direct):
1 Sm 0.052 0.649 0.649
2 Sm 0.124 0.124 0.124
3 Sm 0.124 0.124 0.627
4 Sm 0.124 0.627 0.124
5 Sm 0.351 0.351 0.351
6 Sm 0.351 0.351 0.948
7 Sm 0.351 0.948 0.351
8 Sm 0.373 0.876 0.876
9 Sm 0.627 0.124 0.124
10 Sm 0.649 0.052 0.649
11 Sm 0.649 0.649 0.052
12 Sm 0.649 0.649 0.649
13 Sm 0.876 0.373 0.876
14 Sm 0.876 0.876 0.373
15 Sm 0.876 0.876 0.876
16 Sm 0.948 0.351 0.351
17 Ho 0.000 0.000 0.000
18 Ho 0.000 0.000 0.500
19 Ho 0.000 0.500 0.000
20 Ho 0.000 0.500 0.500
21 Ho 0.500 0.000 0.000
22 Ho 0.500 0.000 0.500
23 Ho 0.500 0.500 0.000
24 Er 0.267 0.267 0.733
25 Er 0.267 0.733 0.267
26 Er 0.267 0.733 0.733
27 Er 0.733 0.267 0.267
28 Er 0.733 0.267 0.733
29 Er 0.733 0.733 0.267


# 2
Computed, not measured: an optimized crystal structure of SmHo4Er2 at the PBE level of DFT.

As for the crystal system: monoclinic. For the formation energy, the calculation gives 0.134 eV/atom. Its calculated volume is 439.15 Å³/cell. The energy relative to the lowest polymorph listed for this composition is 0.0984 eV per atom.

Cell lengths 6.069, 6.522, 11.450 Å; angles 90.00, 104.30, 90.00 degrees
Positions (direct):
1 Sm 0.037 0.250 0.362
2 Sm 0.963 0.750 0.638
3 Ho 0.151 0.250 0.662
4 Ho 0.285 0.750 0.925
5 Ho 0.347 0.507 0.211
6 Ho 0.347 0.993 0.211
7 Ho 0.653 0.007 0.789
8 Ho 0.653 0.493 0.789
9 Ho 0.715 0.250 0.075
10 Ho 0.849 0.750 0.338
11 Er 0.152 0.250 0.947
12 Er 0.396 0.750 0.506
13 Er 0.604 0.250 0.494
14 Er 0.848 0.750 0.053


# 3
Computed, not measured: an optimized crystal structure of Sm2Ho3Er9 at the PBE level of DFT.

As for the crystal system: triclinic. For the formation energy, the calculation gives 0.179 eV/atom. Its calculated volume is 448.28 Å³/cell.

Cell lengths 5.346, 8.259, 10.576 Å; angles 97.58, 100.70, 98.07 degrees
Positions (direct):
1 Sm 0.000 0.000 0.000
2 Sm 0.042 0.957 0.481
3 Ho 0.229 0.573 0.574
4 Ho 0.521 0.979 0.240
5 Ho 0.812 0.385 0.907
6 Er 0.042 0.289 0.306
7 Er 0.195 0.267 0.752
8 Er 0.411 0.675 0.942
9 Er 0.434 0.346 0.103
10 Er 0.519 0.979 0.741
11 Er 0.607 0.611 0.378
12 Er 0.630 0.282 0.539
13 Er 0.846 0.691 0.729
14 Er 0.999 0.669 0.175


# 4
Computed, not measured: an optimized crystal structure of SmHo4Er10 at the PBE level of DFT.

As for the crystal system: tetragonal. For the formation energy, the calculation gives 0.735 eV/atom. Its calculated volume is 553.32 Å³/cell.

Cell lengths 9.336, 9.336, 9.336 Å; angles 99.57, 99.57, 131.87 degrees
Positions (direct):
1 Sm 0.000 0.000 0.000
2 Ho 0.200 0.400 0.600
3 Ho 0.400 0.800 0.201
4 Ho 0.600 0.200 0.799
5 Ho 0.800 0.600 0.400
6 Er 0.051 0.352 0.900
7 Er 0.151 0.051 0.698
8 Er 0.250 0.750 0.500
9 Er 0.352 0.452 0.302
10 Er 0.452 0.151 0.100
11 Er 0.548 0.849 0.900
12 Er 0.648 0.548 0.698
13 Er 0.750 0.250 0.500
14 Er 0.849 0.949 0.302
15 Er 0.949 0.648 0.100


# 5
Computed, not measured: an optimized crystal structure of Sm7Ho3Er at the PBE level of DFT.

As for the crystal system: monoclinic. For the formation energy, the calculation gives 0.125 eV/atom. Its calculated volume is 368.20 Å³/cell. The energy relative to the lowest polymorph listed for this composition is 0.0000 eV per atom.

Cell lengths 7.045, 5.601, 9.972 Å; angles 90.00, 110.67, 90.00 degrees
Positions (direct):
1 Sm 0.000 0.000 0.000
2 Sm 0.145 0.500 0.292
3 Sm 0.321 0.500 0.640
4 Sm 0.414 0.000 0.829
5 Sm 0.586 0.000 0.171
6 Sm 0.679 0.500 0.360
7 Sm 0.855 0.500 0.708
8 Ho 0.000 0.000 0.500
9 Ho 0.280 0.500 0.000
10 Ho 0.720 0.500 0.000
11 Er 0.500 0.000 0.500


# 6
Computed, not measured: an optimized crystal structure of SmHo2Er4 at the PBE level of DFT.

As for the crystal system: monoclinic. For the formation energy, the calculation gives 0.036 eV/atom. Its calculated volume is 218.59 Å³/cell. The energy relative to the lowest polymorph listed for this composition is 0.0000 eV per atom.

Cell lengths 8.448, 8.448, 8.673 Å; angles 118.79, 118.79, 23.94 degrees
Positions (direct):
1 Sm 0.000 0.000 0.000
2 Ho 0.070 0.070 0.430
3 Ho 0.930 0.930 0.570
4 Er 0.295 0.295 0.706
5 Er 0.358 0.358 0.166
6 Er 0.642 0.642 0.834
7 Er 0.705 0.705 0.294


# 7
Computed, not measured: an optimized crystal structure of SmHoErSn at the PBE level of DFT.

As for the crystal system: cubic. For the formation energy, the calculation gives -0.232 eV/atom. Its calculated volume is 112.41 Å³/cell.

Cell lengths 5.417, 5.417, 5.417 Å; angles 60.00, 60.00, 60.00 degrees
Positions (direct):
1 Sm 0.000 0.000 0.000
2 Ho 0.250 0.250 0.250
3 Er 0.500 0.500 0.500
4 Sn 0.750 0.750 0.750


# 8
Computed, not measured: an optimized crystal structure of TbSm6HoEr2 at the PBE level of DFT.

As for the crystal system: monoclinic. For the formation energy, the calculation gives 0.119 eV/atom. Its calculated volume is 661.04 Å³/cell.

Cell lengths 8.864, 8.864, 9.575 Å; angles 93.77, 93.77, 117.66 degrees
Positions (direct):
1 Tb 0.027 0.973 0.750
2 Tb 0.973 0.027 0.250
3 Sm 0.013 0.564 0.685
4 Sm 0.118 0.759 0.055
5 Sm 0.241 0.882 0.445
6 Sm 0.292 0.510 0.881
7 Sm 0.436 0.987 0.815
8 Sm 0.490 0.708 0.619
9 Sm 0.510 0.292 0.381
10 Sm 0.564 0.013 0.185
11 Sm 0.708 0.490 0.119
12 Sm 0.759 0.118 0.555
13 Sm 0.882 0.241 0.945
14 Sm 0.987 0.436 0.315
15 Ho 0.410 0.590 0.250
16 Ho 0.590 0.410 0.750
17 Er 0.200 0.300 0.546
18 Er 0.300 0.200 0.046
19 Er 0.700 0.800 0.954
20 Er 0.800 0.700 0.454


# 9
Computed, not measured: an optimized crystal structure of TbSm4HoEr2 at the PBE level of DFT.

As for the crystal system: orthorhombic. For the formation energy, the calculation gives 0.017 eV/atom. Its calculated volume is 258.28 Å³/cell.

Cell lengths 5.061, 5.076, 10.055 Å; angles 90.00, 90.00, 90.00 degrees
Positions (direct):
1 Tb 0.000 0.000 0.000
2 Sm 0.000 0.500 0.250
3 Sm 0.000 0.500 0.750
4 Sm 0.500 0.000 0.251
5 Sm 0.500 0.000 0.749
6 Ho 0.500 0.500 0.500
7 Er 0.000 0.000 0.500
8 Er 0.500 0.500 0.000


# 10
Computed, not measured: an optimized crystal structure of Tb2Sm6HoEr at the PBE level of DFT.

As for the crystal system: monoclinic. For the formation energy, the calculation gives 0.118 eV/atom. Its calculated volume is 663.77 Å³/cell.

Cell lengths 8.880, 8.880, 9.615 Å; angles 93.96, 93.96, 117.94 degrees
Positions (direct):
1 Tb 0.199 0.300 0.044
2 Tb 0.300 0.199 0.544
3 Tb 0.700 0.801 0.456
4 Tb 0.801 0.700 0.956
5 Sm 0.014 0.568 0.187
6 Sm 0.121 0.758 0.555
7 Sm 0.242 0.879 0.945
8 Sm 0.291 0.506 0.381
9 Sm 0.432 0.986 0.313
10 Sm 0.494 0.709 0.119
11 Sm 0.506 0.291 0.881
12 Sm 0.568 0.014 0.687
13 Sm 0.709 0.494 0.619
14 Sm 0.758 0.121 0.055
15 Sm 0.879 0.242 0.445
16 Sm 0.986 0.432 0.813
17 Ho 0.025 0.975 0.250
18 Ho 0.975 0.025 0.750
19 Er 0.410 0.590 0.750
20 Er 0.590 0.410 0.250


# 11
Computed, not measured: an optimized crystal structure of TbSm4Ho2Er at the PBE level of DFT.

As for the crystal system: monoclinic. For the formation energy, the calculation gives 0.017 eV/atom. Its calculated volume is 258.52 Å³/cell.

Cell lengths 6.198, 3.584, 11.825 Å; angles 90.00, 100.17, 90.00 degrees
Positions (direct):
1 Tb 0.000 0.000 0.000
2 Sm 0.250 0.000 0.749
3 Sm 0.251 0.500 0.251
4 Sm 0.749 0.500 0.749
5 Sm 0.750 0.000 0.251
6 Ho 0.500 0.000 0.500
7 Ho 0.500 0.500 0.000
8 Er 0.000 0.500 0.500


# 12
Computed, not measured: an optimized crystal structure of TbSm6Ho3Er2 at the PBE level of DFT.

As for the crystal system: monoclinic. For the formation energy, the calculation gives 0.014 eV/atom. Its calculated volume is 386.59 Å³/cell.

Cell lengths 6.201, 6.201, 11.787 Å; angles 95.01, 95.01, 119.98 degrees
Positions (direct):
1 Tb 0.000 0.000 0.000
2 Sm 0.084 0.417 0.250
3 Sm 0.250 0.250 0.750
4 Sm 0.417 0.084 0.250
5 Sm 0.583 0.916 0.750
6 Sm 0.750 0.750 0.250
7 Sm 0.916 0.583 0.750
8 Ho 0.167 0.833 0.500
9 Ho 0.500 0.500 0.500
10 Ho 0.833 0.167 0.500
11 Er 0.333 0.667 0.000
12 Er 0.667 0.333 0.000


# 13
Computed, not measured: an optimized crystal structure of TbSm2Ho4Er2 at the PBE level of DFT.

As for the crystal system: monoclinic. For the formation energy, the calculation gives 0.006 eV/atom. Its calculated volume is 284.89 Å³/cell.

Cell lengths 9.459, 9.459, 9.510 Å; angles 115.25, 115.25, 21.82 degrees
Positions (direct):
1 Tb 0.000 0.000 0.000
2 Sm 0.148 0.148 0.666
3 Sm 0.852 0.852 0.334
4 Ho 0.185 0.185 0.333
5 Ho 0.481 0.481 0.669
6 Ho 0.519 0.519 0.331
7 Ho 0.815 0.815 0.667
8 Er 0.333 0.333 0.998
9 Er 0.667 0.667 0.002


# 14
Computed, not measured: an optimized crystal structure of Tb2SmHo2Er at the PBE level of DFT.

As for the crystal system: orthorhombic. For the formation energy, the calculation gives 0.106 eV/atom. Its calculated volume is 386.72 Å³/cell.

Cell lengths 6.064, 18.145, 3.515 Å; angles 90.00, 90.00, 90.00 degrees
Positions (direct):
1 Tb 0.167 0.157 0.000
2 Tb 0.333 0.657 0.500
3 Tb 0.667 0.343 0.500
4 Tb 0.833 0.843 0.000
5 Sm 0.000 0.500 0.500
6 Sm 0.500 0.000 0.000
7 Ho 0.167 0.343 0.000
8 Ho 0.333 0.843 0.500
9 Ho 0.667 0.157 0.500
10 Ho 0.833 0.657 0.000
11 Er 0.000 0.000 0.500
12 Er 0.500 0.500 0.000


# 15
Computed, not measured: an optimized crystal structure of TbSm2HoEr4 at the PBE level of DFT.

As for the crystal system: monoclinic. For the formation energy, the calculation gives 0.438 eV/atom. Its calculated volume is 525.80 Å³/cell.

Cell lengths 9.467, 9.467, 6.777 Å; angles 110.97, 110.97, 88.67 degrees
Positions (direct):
1 Tb 0.000 0.500 0.000
2 Tb 0.500 0.000 0.500
3 Sm 0.000 0.000 0.000
4 Sm 0.000 0.000 0.500
5 Sm 0.000 0.500 0.500
6 Sm 0.500 0.000 0.000
7 Ho 0.500 0.500 0.000
8 Ho 0.500 0.500 0.500
9 Er 0.251 0.253 0.001
10 Er 0.251 0.747 0.498
11 Er 0.253 0.251 0.501
12 Er 0.253 0.749 0.002
13 Er 0.747 0.251 0.998
14 Er 0.747 0.749 0.499
15 Er 0.749 0.253 0.502
16 Er 0.749 0.747 0.999


# 16
Computed, not measured: an optimized crystal structure of Tb4Sm2Ho2Er at the PBE level of DFT.

As for the crystal system: monoclinic. For the formation energy, the calculation gives 0.017 eV/atom. Its calculated volume is 287.31 Å³/cell.

Cell lengths 9.420, 9.420, 8.737 Å; angles 90.07, 90.07, 21.75 degrees
Positions (direct):
1 Tb 0.056 0.056 0.169
2 Tb 0.278 0.278 0.831
3 Tb 0.722 0.722 0.169
4 Tb 0.944 0.944 0.831
5 Sm 0.389 0.389 0.168
6 Sm 0.611 0.611 0.832
7 Ho 0.167 0.167 0.500
8 Ho 0.833 0.833 0.500
9 Er 0.500 0.500 0.500


# 17
Computed, not measured: an optimized crystal structure of TbSm2Ho2Er2 at the PBE level of DFT.

As for the crystal system: monoclinic. For the formation energy, the calculation gives 0.087 eV/atom. Its calculated volume is 226.53 Å³/cell.

Cell lengths 6.082, 6.082, 11.756 Å; angles 108.46, 108.46, 33.51 degrees
Positions (direct):
1 Tb 0.000 0.000 0.000
2 Sm 0.329 0.329 0.416
3 Sm 0.671 0.671 0.584
4 Ho 0.449 0.449 0.730
5 Ho 0.551 0.551 0.270
6 Er 0.226 0.226 0.863
7 Er 0.774 0.774 0.137


# 18
Computed, not measured: an optimized crystal structure of Tb4Sm2HoEr at the PBE level of DFT.

As for the crystal system: monoclinic. For the formation energy, the calculation gives 0.428 eV/atom. Its calculated volume is 532.46 Å³/cell.

Cell lengths 9.505, 9.505, 6.807 Å; angles 110.98, 110.98, 88.52 degrees
Positions (direct):
1 Tb 0.245 0.250 0.496
2 Tb 0.247 0.752 0.501
3 Tb 0.248 0.753 0.999
4 Tb 0.250 0.245 0.996
5 Tb 0.750 0.755 0.004
6 Tb 0.752 0.247 0.001
7 Tb 0.753 0.248 0.499
8 Tb 0.755 0.750 0.504
9 Sm 0.000 0.500 0.000
10 Sm 0.500 0.000 0.500
11 Sm 0.500 0.500 0.000
12 Sm 0.500 0.500 0.500
13 Ho 0.000 0.000 0.000
14 Ho 0.000 0.000 0.500
15 Er 0.000 0.500 0.500
16 Er 0.500 0.000 0.000


# 19
Computed, not measured: an optimized crystal structure of TbSmHo2Er at the PBE level of DFT.

As for the crystal system: orthorhombic. For the formation energy, the calculation gives 0.400 eV/atom. Its calculated volume is 342.02 Å³/cell.

Cell lengths 7.070, 7.070, 7.176 Å; angles 90.00, 90.00, 107.53 degrees
Positions (direct):
1 Tb 0.003 0.997 0.750
2 Tb 0.997 0.003 0.250
3 Sm 0.274 0.726 0.750
4 Sm 0.726 0.274 0.250
5 Ho 0.311 0.311 0.000
6 Ho 0.311 0.311 0.500
7 Ho 0.689 0.689 0.000
8 Ho 0.689 0.689 0.500
9 Er 0.277 0.723 0.250
10 Er 0.723 0.277 0.750